The following is a DFT calculation (PBE) of a relaxed structure of AcUSe2N.

Computed properties:
Total magnetic moment   0.35 μB/atom
Final energy   -7.691 eV/atom
Crystal system   tetragonal
Space-group type   No. 129
Formation energy without anion corrections   -1.552 eV/atom
Calculated volume   256.6 Å³ per cell
Fermi-level density of states   6.80 states/eV/f.u.

a = 4.0415 Å, b = 4.0415 Å, c = 15.7108 Å
α = 90.00°, β = 90.00°, γ = 90.00°
Last column: magnetic moment on the atom in μB.
Sites, in units of the cell vectors:
Se (0.0000, 0.5000, 0.0797)  0.00
Se (0.5000, 0.0000, 0.3298)  -0.05
Se (0.5000, 0.0000, 0.9203)  0.00
Se (0.0000, 0.5000, 0.6702)  -0.05
U (0.0000, 0.5000, 0.4308)  1.79
U (0.5000, 0.0000, 0.5692)  1.79
N (0.5000, 0.5000, 0.5000)  -0.12
N (0.0000, 0.0000, 0.5000)  -0.12
Ac (0.0000, 0.5000, 0.8604)  0.01
Ac (0.5000, 0.0000, 0.1396)  0.01